#i
## TbDy3Tm6 (GGA-PBE)

Data for a relaxed TbDy3Tm6 crystal.

Computed properties:
* N(E_F): 1.48 states/eV/atom
* space-group type: No. 36

Cell: 11.382 11.382 6.294 Å, 90.00 90.00 130.86°
Sites, in units of the cell vectors:
Tb (0.162, 0.838, 0.500)
Tb (0.838, 0.162, 0.000)
Dy (0.042, 0.297, 0.526)
Dy (0.297, 0.042, 0.026)
Dy (0.420, 0.580, 0.419)
Dy (0.580, 0.420, 0.919)
Dy (0.703, 0.958, 0.526)
Dy (0.958, 0.703, 0.026)
Tm (0.014, 0.986, 0.696)
Tm (0.105, 0.542, 0.184)
Tm (0.257, 0.379, 0.946)
Tm (0.302, 0.698, 0.727)
Tm (0.379, 0.257, 0.446)
Tm (0.458, 0.895, 0.184)
Tm (0.542, 0.105, 0.684)
Tm (0.621, 0.743, 0.946)
Tm (0.698, 0.302, 0.227)
Tm (0.743, 0.621, 0.446)
Tm (0.895, 0.458, 0.684)
Tm (0.986, 0.014, 0.196)

=====

#ii
## TbDy3Tm6 (GGA-PBE)

Data for a relaxed TbDy3Tm6 crystal.

Computed properties:
* N(E_F): 1.43 states/eV/atom
* space-group type: No. 36

Cell: 10.821 10.821 6.108 Å, 90.00 90.00 119.64°
Sites, in units of the cell vectors:
Tb (0.209, 0.791, 0.500)
Tb (0.791, 0.209, 0.000)
Dy (0.063, 0.281, 0.697)
Dy (0.281, 0.063, 0.197)
Dy (0.391, 0.609, 0.585)
Dy (0.609, 0.391, 0.085)
Dy (0.719, 0.937, 0.697)
Dy (0.937, 0.719, 0.197)
Tm (0.037, 0.459, 0.291)
Tm (0.048, 0.952, 0.735)
Tm (0.285, 0.715, 0.013)
Tm (0.288, 0.383, 0.124)
Tm (0.383, 0.288, 0.624)
Tm (0.459, 0.037, 0.791)
Tm (0.541, 0.963, 0.291)
Tm (0.617, 0.712, 0.124)
Tm (0.712, 0.617, 0.624)
Tm (0.715, 0.285, 0.513)
Tm (0.952, 0.048, 0.235)
Tm (0.963, 0.541, 0.791)

=====

The most stable arrangement is #i, and the next structure is 25 meV/atom less stable.